The following is a GGA-PBEsol calculation of a relaxed In2AgAu crystal, from Alexandria via LeMat-Bulk.

Calculated values
Total DFT energy (no corrections): -13.72 eV per cell
Symmetry: No. 6
Formation enthalpy at 0 K: -0.1310 eV per atom

a = 3.4734 Å, b = 4.3724 Å, c = 5.5601 Å
α = 90.00°, β = 106.96°, γ = 90.00°
Fractional positions:
In 0.0000 0.0000 0.0000
In 0.2951 0.5000 0.6072
Ag 0.5613 0.5000 0.1354
Au 0.7340 0.0000 0.4706

---

The following is a GGA-PBEsol calculation of a relaxed In2AgAu crystal, from Alexandria via LeMat-Bulk.

Calculated values
Total DFT energy (no corrections): -13.45 eV per cell
Symmetry: No. 47
Formation enthalpy at 0 K: -0.0616 eV per atom

a = 3.6331 Å, b = 3.7738 Å, c = 5.7925 Å
α = 90.00°, β = 90.00°, γ = 90.00°
Fractional positions:
In 0.0000 0.0000 0.2479
In 0.0000 0.0000 0.7521
Ag 0.5000 0.5000 0.5000
Au 0.5000 0.5000 0.0000